6
Lattice="-2.1470 0.6967 1.8712 0.8371 -2.7952 -0.2688 6.5644 4.4766 5.8123" Properties=species:S:1:pos:R:3 comment="MgNiO GGA+U optimized geometry" m_tot_mub_per_fu=1.22 final_energy_ev_per_atom=-4.143 n_ef_per_ev_cell=1.45 pbc="T T T"
Mg 3.5037 2.0548 5.9636
Mg 1.7454 1.7088 4.0694
O 3.7539 2.3440 3.8335
O 4.4443 3.8382 6.3574
Ni 1.2689 0.2348 1.7357
Ni -0.2576 -1.6357 0.7580